No. 1
A relaxed structure of HS2Cl2, computed with GGA-PBE.

Cell lengths 5.7443, 5.7443, 6.5076 Å; angles 92.70, 92.70, 146.75 degrees
Element x y z (fractional)
H: 0.0000 0.0000 0.0000
S: 0.3110 0.6890 0.5000
S: 0.6890 0.3110 0.5000
Cl: 0.0815 0.0815 0.7711
Cl: 0.9185 0.9185 0.2289

space-group type	C2/m, No. 12
electronic total energy	-15.4	eV per cell
calculated density	1.9	g cm⁻³

***

No. 2
A relaxed structure of Tb5Nd7, computed with GGA-PBE.

Cell lengths 9.6391, 9.6391, 13.3525 Å; angles 117.62, 117.62, 21.82 degrees
Element x y z (fractional)
Tb: 0.0000 0.0000 0.0000
Tb: 0.1678 0.1678 0.5018
Tb: 0.3061 0.3061 0.2518
Tb: 0.6939 0.6939 0.7482
Tb: 0.8322 0.8322 0.4982
Nd: 0.0281 0.0281 0.7500
Nd: 0.3329 0.3329 0.9976
Nd: 0.3603 0.3603 0.7488
Nd: 0.5000 0.5000 0.5000
Nd: 0.6397 0.6397 0.2512
Nd: 0.6671 0.6671 0.0024
Nd: 0.9719 0.9719 0.2500

space-group type	C2/m, No. 12
electronic total energy	-56.4	eV per cell
calculated density	7.4	g cm⁻³

***

No. 3
A relaxed structure of Ho7Tm2Mg2, computed with GGA-PBE.

Cell lengths 6.4599, 6.4599, 8.3862 Å; angles 102.09, 102.09, 95.66 degrees
Element x y z (fractional)
Ho: 0.0000 0.0000 0.0000
Ho: 0.1159 0.4781 0.8179
Ho: 0.1444 0.1444 0.4180
Ho: 0.4781 0.1159 0.8179
Ho: 0.5219 0.8841 0.1821
Ho: 0.8556 0.8556 0.5820
Ho: 0.8841 0.5219 0.1821
Tm: 0.3195 0.6805 0.5000
Tm: 0.6805 0.3195 0.5000
Mg: 0.3841 0.3841 0.1650
Mg: 0.6159 0.6159 0.8350

space-group type	C2/m, No. 12
electronic total energy	-43.3	eV per cell
calculated density	7.7	g cm⁻³

***

No. 4
A relaxed structure of TlOsS2Cl, computed with GGA-PBE.

Cell lengths 5.1429, 5.1429, 5.0821 Å; angles 90.00, 90.00, 90.00 degrees
Element x y z (fractional)
Tl: 0.0000 0.0000 0.0000
Os: 0.5000 0.5000 0.5000
S: 0.0000 0.5000 0.0000
S: 0.5000 0.0000 0.0000
Cl: 0.0000 0.0000 0.5000

space-group type	P4/mmm, No. 123
calculated density	6.1	g cm⁻³
uncorrected formation energy	1570	meV per atom

***

No. 5
A relaxed structure of TaTi3N, computed with GGA-PBE.

Cell lengths 5.2396, 5.6861, 5.6862 Å; angles 62.07, 89.88, 90.00 degrees
Element x y z (fractional)
Ta: 0.0000 0.0000 0.0000
Ta: 0.2819 0.2550 0.2586
Ti: 0.2936 0.7452 0.7486
Ti: 0.4739 0.2540 0.7562
Ti: 0.4743 0.7551 0.2552
Ti: 0.7741 0.0035 0.5034
Ti: 0.7741 0.5011 0.0047
Ti: 0.9406 0.5022 0.5021
N: 0.6225 0.3708 0.3720
N: 0.6271 0.6354 0.6368

space-group type	P1, No. 1
calculated density	7.5	g cm⁻³
uncorrected formation energy	-676	meV per atom

***

No. 6
A relaxed structure of PrSm4Pb4, computed with GGA-PBE.

Cell lengths 7.7831, 7.7831, 7.7831 Å; angles 99.59, 99.59, 131.82 degrees
Element x y z (fractional)
Pr: 0.0000 0.0000 0.0000
Sm: 0.2034 0.6006 0.8040
Sm: 0.3994 0.2034 0.6028
Sm: 0.6006 0.7966 0.3972
Sm: 0.7966 0.3994 0.1960
Pb: 0.0995 0.3019 0.4014
Pb: 0.3019 0.9005 0.2023
Pb: 0.6981 0.0995 0.7977
Pb: 0.9005 0.6981 0.5986

space-group type	I4/m, No. 87
electronic total energy	-41.2	eV per cell
calculated density	8.1	g cm⁻³

***

No. 7
A relaxed structure of Fe4CuAg, computed with GGA-PBE.

Cell lengths 4.7763, 4.7763, 4.7763 Å; angles 60.00, 60.00, 60.00 degrees
Element x y z (fractional)
Fe: 0.3756 0.3756 0.3756
Fe: 0.3756 0.3756 0.8733
Fe: 0.3756 0.8733 0.3756
Fe: 0.8733 0.3756 0.3756
Cu: 0.7500 0.7500 0.7500
Ag: 0.0000 0.0000 0.0000

space-group type	F-43m, No. 216
electronic total energy	-38.9	eV per cell
calculated density	8.5	g cm⁻³

***

No. 8
A relaxed structure of PmTm3In4, computed with GGA-PBE.

Cell lengths 10.1410, 10.1410, 10.1410 Å; angles 160.68, 138.99, 45.71 degrees
Element x y z (fractional)
Pm: 0.0000 0.0000 0.0000
Tm: 0.2203 0.7203 0.5000
Tm: 0.5000 0.5000 0.0000
Tm: 0.7797 0.2797 0.5000
In: 0.1609 0.8715 0.2894
In: 0.4179 0.1285 0.2894
In: 0.5821 0.8715 0.7106
In: 0.8391 0.1285 0.7106

space-group type	Immm, No. 71
electronic total energy	-31.4	eV per cell
calculated density	8.2	g cm⁻³